1.
Entry from Alexandria via LeMat-Bulk: a relaxed Na4TiTe4 crystal (PBE).

For the formation energy (no corrections), the calculation gives -0.802 eV per atom.

It has space group I-42m (No. 121), with a = 7.368 Å, b = 7.368 Å, c = 12.883 Å, α = 90.00°, β = 90.00° and γ = 90.00°. Symmetry generates all atoms from Na at (0.000, 0.000, 0.203), Na at (0.000, 0.500, 0.000), Ti at (0.000, 0.000, 0.500) and Te at (0.205, 0.205, 0.621).

=====

2.
Entry from Alexandria via LeMat-Bulk: a relaxed La3GaN4 crystal (PBE).

For the formation energy (no corrections), the calculation gives -1.009 eV per atom.

It has space group Pmn2_1 (No. 31), with a = 7.742 Å, b = 6.817 Å, c = 5.749 Å, α = 90.00°, β = 90.00° and γ = 90.00°. Symmetry generates all atoms from La at (0.000, 0.137, 0.000), La at (0.248, 0.329, 0.499), Ga at (0.000, 0.824, 0.486), N at (0.000, 0.115, 0.570), N at (0.000, 0.815, 0.137) and N at (0.226, 0.685, 0.574).

=====

3.
Entry from Alexandria via LeMat-Bulk: a relaxed Nd3NiSn2 crystal (PBE).

The energy of formation comes out at -0.650 eV/atom. The value obtained for the density of states at the Fermi level is 0.778 states/eV per atom.

It has space group Pnma (No. 62), with a = 12.453 Å, b = 4.483 Å, c = 12.078 Å, α = 90.00°, β = 90.00° and γ = 90.00°. Symmetry generates all atoms from Nd at (0.056, 0.250, 0.128), Nd at (0.120, 0.750, 0.553), Nd at (0.227, 0.250, 0.798), Ni at (0.127, 0.250, 0.366), Sn at (0.014, 0.750, 0.311) and Sn at (0.194, 0.750, 0.996).

=====

4.
Entry from Alexandria via LeMat-Bulk: a relaxed Zn2SeBr crystal (PBE).

For the formation energy (no corrections), the calculation gives -0.361 eV per atom. The value obtained for the density of states at the Fermi level is 0.169 states/eV per atom. For the energy above the most stable polymorph in this dataset, the calculation gives 0.000 eV/atom.

It has space group Cm (No. 8), with a = 8.155 Å, b = 3.822 Å, c = 6.406 Å, α = 90.00°, β = 94.12° and γ = 90.00°. Symmetry generates all atoms from Zn at (0.000, 0.000, 0.000), Zn at (0.094, 0.500, 0.691), Se at (0.305, 0.000, 0.870) and Br at (0.023, 0.000, 0.397).

=====

5.
Entry from Alexandria via LeMat-Bulk: a relaxed Y2HoBi crystal (PBE).

The energy of formation comes out at -0.182 eV/atom. The value obtained for the density of states at the Fermi level is 1.321 states/eV per atom. For the energy above the most stable polymorph in this dataset, the calculation gives 0.228 eV/atom.

It has space group R3m (No. 160, hexagonal axes), with a = 4.0482 Å, b = 4.0482 Å, c = 28.4907 Å, α = 90.00°, β = 90.00° and γ = 120.00°. Symmetry generates all atoms from Y at (0.0000, 0.0000, 0.0000), Y at (0.0000, 0.0000, 0.1925), Ho at (0.0000, 0.0000, 0.4299) and Bi at (0.0000, 0.0000, 0.5958).

=====

6.
Entry from Alexandria via LeMat-Bulk: a relaxed RbB2H4 crystal (PBE).

The value obtained for the density of states at the Fermi level is 0.167 states/eV per atom. For the energy above the most stable polymorph in this dataset, the calculation gives 0.000 eV/atom.

It has space group C2/m (No. 12), with a = 7.762 Å, b = 6.526 Å, c = 3.127 Å, α = 90.00°, β = 90.85° and γ = 90.00°. Symmetry generates all atoms from Rb at (0.000, 0.000, 0.000), B at (0.085, 0.500, 0.338) and H at (0.171, 0.347, 0.278).

=====

7.
Entry from Alexandria via LeMat-Bulk: a relaxed Hf8TaAl2 crystal (PBE).

The energy of formation comes out at 0.052 eV/atom. The value obtained for the density of states at the Fermi level is 0.926 states/eV per atom.

It has space group C2/m (No. 12), with a = 7.756 Å, b = 13.306 Å, c = 5.111 Å, α = 90.00°, β = 116.80° and γ = 90.00°. Symmetry generates all atoms from Hf at (0.000, 0.212, 0.000), Hf at (0.104, 0.500, 0.793), Hf at (0.211, 0.113, 0.644), Ta at (0.000, 0.000, 0.000) and Al at (0.000, 0.302, 0.500).

=====

8.
Entry from Alexandria via LeMat-Bulk: a relaxed TbCePm2 crystal (PBE).

The energy of formation comes out at 0.199 eV/atom. The value obtained for the density of states at the Fermi level is 1.903 states/eV per atom. For the energy above the most stable polymorph in this dataset, the calculation gives 0.134 eV/atom.

It has space group R-3m (No. 166, hexagonal axes), with a = 3.4975 Å, b = 3.4975 Å, c = 37.0940 Å, α = 90.00°, β = 90.00° and γ = 120.00°. Symmetry generates all atoms from Tb at (0.0000, 0.0000, 0.0000), Ce at (0.0000, 0.0000, 0.5000) and Pm at (0.0000, 0.0000, 0.0905).

=====

Number 1: total magnetic moment 0.00 Bohr magnetons per cell. Number 2: total magnetic moment 0.00 Bohr magnetons per cell. Number 3: total magnetic moment 2.86 Bohr magnetons per cell. Number 4: total magnetic moment 0.00 Bohr magnetons per cell. Number 5: total magnetic moment 2.00 Bohr magnetons per cell. Number 6: total magnetic moment 0.23 Bohr magnetons per cell. Number 7: total magnetic moment 0.00 Bohr magnetons per cell. Number 8: total magnetic moment 0.90 Bohr magnetons per cell.